(1)
DFT (PBE) results for a geometry-optimized BaLi2LaCl8 structure.

Properties
calculated density = 2.7 g cm⁻³
raw formation energy = -1.86 eV/atom
total moment = 1.180 μB/cell
symmetry = P-3

Cell and atoms, written as POSCAR:
```
BaLi2LaCl8
1.0
-2.4733 -5.6167 2.7606
4.4130 3.7647 3.4113
-6.8383 4.7712 3.5809
Cl Ba Li La
8 1 2 1
Cartesian
-1.1981 5.4058 6.7531 Cl
-3.7005 -2.4865 2.9997 Cl
-6.9401 2.2286 6.5185 Cl
-1.4378 0.8000 2.9417 Cl
-3.4789 4.4980 3.6070 Cl
-1.4197 -1.5787 6.1458 Cl
-3.4608 2.1193 6.8110 Cl
2.0415 0.6907 3.2343 Cl
0.0000 0.0000 0.0000 Ba
-1.8548 -1.3195 3.8557 Li
-3.0437 4.2387 5.8971 Li
-3.4192 2.3856 1.7904 La
```

---

(2)
DFT (PBE) results for a geometry-optimized BaLiLaCl6 structure.

Properties
calculated density = 2.9 g cm⁻³
raw formation energy = -2.28 eV/atom
total moment = 0.000 μB/cell
symmetry = P-31c

Cell and atoms, written as POSCAR:
```
BaLiLaCl6
1.0
7.0137 0.0000 0.0000
-3.5068 6.0740 0.0000
0.0000 0.0000 13.4552
Cl Ba Li La
12 2 2 2
Cartesian
2.3350 3.8416 8.5655 Cl
2.5193 0.1014 8.5655 Cl
-0.9876 5.9727 1.8379 Cl
4.4944 0.1014 11.6173 Cl
-1.1718 2.2324 1.8379 Cl
5.6663 2.1311 8.5655 Cl
2.1594 3.9430 1.8379 Cl
-2.1594 3.9430 4.8897 Cl
1.1718 2.2324 4.8897 Cl
1.3474 2.1311 11.6173 Cl
4.6787 3.8416 11.6173 Cl
0.9876 5.9727 4.8897 Cl
0.0000 0.0000 0.0000 Ba
0.0000 0.0000 6.7276 Ba
0.0000 4.0494 3.3638 Li
3.5068 2.0247 10.0914 Li
3.5068 2.0247 3.3638 La
0.0000 4.0494 10.0914 La
```

---

(3)
DFT (PBE) results for a geometry-optimized BaLaNCl structure.

Properties
calculated density = 5.3 g cm⁻³
raw formation energy = -1.47 eV/atom
total moment = 0.840 μB/cell
symmetry = R3m

Cell and atoms, written as POSCAR:
```
BaLaNCl
1.0
3.9345 -0.0005 -0.0002
-1.9668 3.4078 0.0000
-1.9671 -1.1355 7.6312
La N Ba Cl
1 1 1 1
Cartesian
-1.5952 3.1585 0.3643 La
-1.5953 0.8869 7.0648 N
0.3717 -0.2491 5.0348 Ba
2.3388 0.8869 2.5664 Cl
```

---

(4)
DFT (PBE) results for a geometry-optimized Ba2LaN2Cl2 structure.

Properties
calculated density = 4.7 g cm⁻³
raw formation energy = -1.50 eV/atom
total moment = 0.352 μB/cell
symmetry = I4/mmm

Cell and atoms, written as POSCAR:
```
Ba2LaN2Cl2
1.0
-2.5762 3.7924 -1.0286
-3.9178 -2.3846 1.0204
3.7685 1.7464 7.7323
N La Ba Cl
2 1 2 2
Cartesian
-1.9589 -1.1923 0.5102 N
-1.2881 1.8962 -0.5143 N
0.0000 0.0000 0.0000 La
-3.1288 1.2594 1.7480 Ba
0.4033 1.8948 5.9761 Ba
0.1916 0.9004 2.8400 Cl
-2.9172 2.2537 4.8841 Cl
```